1.
Computed, not measured: RbAcFeO3 after structural relaxation at the PBE with a Hubbard U level of DFT.

```
data_RbAcFeO3
_chemical_formula_sum 'Rb2 Ac2 Fe2 O6'
_cell_length_a 3.916
_cell_length_b 6.535
_cell_length_c 10.358
_cell_angle_alpha 90.00
_cell_angle_beta 90.00
_cell_angle_gamma 107.43
_space_group_name_H-M_alt 'P 1'
_space_group_IT_number 1
loop_
_space_group_symop_operation_xyz
'x,y,z'
loop_
_atom_site_label
_atom_site_type_symbol
_atom_site_fract_x
_atom_site_fract_y
_atom_site_fract_z
_atom_site_occupancy
Rb1 Rb 0.724 0.449 0.750 1
Rb2 Rb 0.276 0.551 0.250 1
Ac1 Ac 0.000 0.000 0.500 1
Ac2 Ac 0.000 0.000 0.000 1
Fe1 Fe 0.445 0.891 0.750 1
Fe2 Fe 0.555 0.109 0.250 1
O1 O 0.609 0.218 0.426 1
O2 O 0.391 0.782 0.574 1
O3 O 0.391 0.782 0.926 1
O4 O 0.609 0.218 0.074 1
O5 O 0.028 0.057 0.750 1
O6 O 0.972 0.943 0.250 1
```

Properties
Final energy, eV/atom: -6.33



2.
Computed, not measured: RbNiAgF6 after structural relaxation at the PBE with a Hubbard U level of DFT.

```
data_RbNiAgF6
_chemical_formula_sum 'Rb1 Ni1 Ag1 F6'
_cell_length_a 5.545
_cell_length_b 5.545
_cell_length_c 6.008
_cell_angle_alpha 90.01
_cell_angle_beta 89.99
_cell_angle_gamma 59.98
_space_group_name_H-M_alt 'P 1'
_space_group_IT_number 1
loop_
_space_group_symop_operation_xyz
'x,y,z'
loop_
_atom_site_label
_atom_site_type_symbol
_atom_site_fract_x
_atom_site_fract_y
_atom_site_fract_z
_atom_site_occupancy
Rb1 Rb 0.000 0.000 0.000 1
Ni1 Ni 0.667 0.667 0.500 1
Ag1 Ag 0.333 0.333 0.500 1
F1 F 0.987 0.379 0.312 1
F2 F 0.379 0.987 0.688 1
F3 F 0.634 0.379 0.688 1
F4 F 0.987 0.634 0.688 1
F5 F 0.379 0.634 0.312 1
F6 F 0.634 0.987 0.312 1
```

Properties
Final energy, eV/atom: -3.78



Size of the total moment / Bohr magnetons per cell: 8.00, 4.00